(1)
DFT (PBE-GGA) results for a relaxed Tm7Au3 crystal.

Cell: 9.8924 9.8924 6.3171 Å, 90.00 90.00 120.00°
Fractional coordinates of all 20 atoms:
Tm (0.0751, 0.5376, 0.0000)
Tm (0.1285, 0.2569, 0.7052)
Tm (0.1285, 0.8715, 0.7052)
Tm (0.2569, 0.1285, 0.2052)
Tm (0.3333, 0.6667, 0.5299)
Tm (0.4624, 0.5376, 0.0000)
Tm (0.4624, 0.9249, 0.0000)
Tm (0.5376, 0.0751, 0.5000)
Tm (0.5376, 0.4624, 0.5000)
Tm (0.6667, 0.3333, 0.0299)
Tm (0.7431, 0.8715, 0.7052)
Tm (0.8715, 0.1285, 0.2052)
Tm (0.8715, 0.7431, 0.2052)
Tm (0.9249, 0.4624, 0.5000)
Au (0.1913, 0.3826, 0.2722)
Au (0.1913, 0.8087, 0.2722)
Au (0.3826, 0.1913, 0.7722)
Au (0.6174, 0.8087, 0.2722)
Au (0.8087, 0.1913, 0.7722)
Au (0.8087, 0.6174, 0.7722)

Summary:
crystal system	hexagonal
space group	P6_3mc
formation energy	-535	meV per atom
density	11.00	g cm⁻³

---

(2)
DFT (PBE-GGA) results for a relaxed PmSnGe2 crystal.

Cell: 4.6631 4.6631 4.2278 Å, 90.00 90.00 90.00°
Fractional coordinates of all 4 atoms:
Pm (0.0000, 0.0000, 0.0000)
Sn (0.5000, 0.5000, 0.0000)
Ge (0.0000, 0.5000, 0.5000)
Ge (0.5000, 0.0000, 0.5000)

Summary:
crystal system	tetragonal
energy above the most stable polymorph in this dataset	0	meV per atom
space group	P4/mmm
formation energy	-430	meV per atom
density	7.39	g cm⁻³

---

(3)
DFT (PBE-GGA) results for a relaxed K3PO6 crystal.

Cell: 6.2514 6.2514 10.0355 Å, 90.00 90.00 120.00°
Fractional coordinates of all 20 atoms:
K (0.0000, 0.0000, 0.0000)
K (0.0000, 0.0000, 0.5000)
K (0.3333, 0.6667, 0.0892)
K (0.3333, 0.6667, 0.4108)
K (0.6667, 0.3333, 0.5892)
K (0.6667, 0.3333, 0.9108)
P (0.3333, 0.6667, 0.7500)
P (0.6667, 0.3333, 0.2500)
O (0.1246, 0.4377, 0.6553)
O (0.1246, 0.6868, 0.8447)
O (0.3132, 0.4377, 0.8447)
O (0.3132, 0.8754, 0.6553)
O (0.4377, 0.1246, 0.3447)
O (0.4377, 0.3132, 0.1553)
O (0.5623, 0.6868, 0.6553)
O (0.5623, 0.8754, 0.8447)
O (0.6868, 0.1246, 0.1553)
O (0.6868, 0.5623, 0.3447)
O (0.8754, 0.3132, 0.3447)
O (0.8754, 0.5623, 0.1553)

Summary:
crystal system	hexagonal
space group	P6_322
density	2.39	g cm⁻³
formation energy from raw total energies	-121.5	kJ per mole of atoms

---

(4)
DFT (PBE-GGA) results for a relaxed Li2PbCl4 crystal.

Cell: 7.6597 7.6597 9.3366 Å, 127.44 127.44 61.15°
Fractional coordinates of all 14 atoms:
Li (0.0762, 0.0762, 0.3287)
Li (0.5035, 0.0014, 0.8285)
Li (0.9238, 0.9238, 0.6713)
Li (0.9986, 0.4965, 0.1715)
Pb (0.3727, 0.6273, 0.0000)
Pb (0.6219, 0.3781, 0.5000)
Cl (0.1711, 0.2309, 0.6743)
Cl (0.2314, 0.1670, 0.2283)
Cl (0.2532, 0.6891, 0.2720)
Cl (0.3109, 0.7468, 0.7280)
Cl (0.6929, 0.2533, 0.1740)
Cl (0.7467, 0.3071, 0.8260)
Cl (0.7691, 0.8289, 0.3257)
Cl (0.8330, 0.7686, 0.7717)

Summary:
crystal system	monoclinic
energy above the most stable polymorph in this dataset	0	meV per atom
space group	C2
density	3.55	g cm⁻³
formation energy from raw total energies	-145.1	kJ per mole of atoms

---

(5)
DFT (PBE-GGA) results for a relaxed Mg4CoOs crystal.

Cell: 5.2555 5.2555 5.2555 Å, 60.00 60.00 60.00°
Fractional coordinates of all 6 atoms:
Mg (0.1246, 0.1246, 0.1246)
Mg (0.1246, 0.1246, 0.6261)
Mg (0.1246, 0.6261, 0.1246)
Mg (0.6261, 0.1246, 0.1246)
Co (0.5000, 0.5000, 0.5000)
Os (0.7500, 0.7500, 0.7500)

Summary:
crystal system	cubic
space group	F-43m
formation energy	723	meV per atom
density	5.60	g cm⁻³

---

(6)
DFT (PBE-GGA) results for a relaxed ScZnCr2 crystal.

Cell: 5.3052 8.9425 2.5931 Å, 90.00 110.98 90.00°
Fractional coordinates of all 8 atoms:
Sc (0.0000, 0.0000, 0.0000)
Sc (0.5000, 0.5000, 0.0000)
Zn (0.0000, 0.5000, 0.0000)
Zn (0.5000, 0.0000, 0.0000)
Cr (0.2500, 0.2500, 0.5000)
Cr (0.2500, 0.7500, 0.5000)
Cr (0.7500, 0.2500, 0.5000)
Cr (0.7500, 0.7500, 0.5000)

Summary:
crystal system	monoclinic
space group	C2/m
formation energy	383	meV per atom
density	6.20	g cm⁻³

---

(7)
DFT (PBE-GGA) results for a relaxed Hf2ScNb crystal.

Cell: 3.1618 3.1618 30.1878 Å, 90.00 90.00 120.00°
Fractional coordinates of all 12 atoms:
Hf (0.0000, 0.0000, 0.0000)
Hf (0.0000, 0.0000, 0.1741)
Hf (0.3333, 0.6667, 0.6667)
Hf (0.3333, 0.6667, 0.8407)
Hf (0.6667, 0.3333, 0.3333)
Hf (0.6667, 0.3333, 0.5074)
Sc (0.0000, 0.0000, 0.4201)
Sc (0.3333, 0.6667, 0.0868)
Sc (0.6667, 0.3333, 0.7535)
Nb (0.0000, 0.0000, 0.5870)
Nb (0.3333, 0.6667, 0.2536)
Nb (0.6667, 0.3333, 0.9203)

Summary:
crystal system	trigonal
energy above the most stable polymorph in this dataset	47	meV per atom
space group	R3m
formation energy	140	meV per atom
density	9.43	g cm⁻³

---

(8)
DFT (PBE-GGA) results for a relaxed La2AlRh crystal.

Cell: 4.7474 3.9217 6.0825 Å, 90.00 112.96 90.00°
Fractional coordinates of all 4 atoms:
La (0.0000, 0.0000, 0.0000)
La (0.2943, 0.5000, 0.5872)
Al (0.5976, 0.5000, 0.1948)
Rh (0.7451, 0.0000, 0.4922)

Summary:
crystal system	monoclinic
space group	Pm
formation energy	-577	meV per atom
density	6.49	g cm⁻³

---

Record order is preserved below.
Total energy: -4.6481; -4.9273; -5.1044; -3.6356; -3.3963; -6.3302; -8.9367; -5.8139 eV per atom